[1]
## CsNdCuTe3 (PBE)

Data for crystalline CsNdCuTe3 at its relaxed geometry.

Geometry as POSCAR:
```
CsNdCuTe3
1.0
10.595 0.000 0.000
0.000 4.383 0.000
-4.326 0.000 9.825
Te Cu Nd Cs
6 2 2 2
direct
0.182 0.750 0.032
0.480 0.750 0.679
0.108 0.250 0.356
0.520 0.250 0.321
0.892 0.750 0.644
0.818 0.250 0.968
0.911 0.750 0.894
0.089 0.250 0.106
0.320 0.750 0.358
0.680 0.250 0.642
0.781 0.750 0.250
0.219 0.250 0.750
```

Calculated values
* E: -48.67 eV/cell

***

[2]
## LiTlAgPd (PBE)

Data for crystalline LiTlAgPd at its relaxed geometry.

Geometry as POSCAR:
```
LiTlAgPd
1.0
1.686 -4.137 1.256
1.625 -0.635 4.300
-2.349 -2.649 3.001
Ag Pd Li Tl
1 1 1 1
direct
0.500 0.500 0.500
0.250 0.250 0.250
0.750 0.750 0.750
0.000 0.000 0.000
```

Calculated values
* ΔE to the lowest computed polymorph: 0 meV/atom

***

[3]
## TbYC2 (PBE)

Data for crystalline TbYC2 at its relaxed geometry.

Geometry as POSCAR:
```
TbYC2
1.0
3.941 0.000 0.000
0.000 2.842 3.369
0.000 -2.842 3.369
C Y Tb
2 1 1
direct
0.500 0.853 0.609
0.500 0.609 0.853
0.000 0.937 0.937
0.500 0.379 0.379
```

Calculated values
* E: -29.49 eV/cell

***

[4]
## PaS (PBE)

Data for crystalline PaS at its relaxed geometry.

Geometry as POSCAR:
```
PaS
1.0
-2.175 0.758 -2.968
-3.701 -0.427 0.490
1.577 3.022 1.731
S Pa
1 1
direct
0.500 0.500 0.500
0.000 0.000 0.000
```

Calculated values
* ΔE to the lowest computed polymorph: 0 meV/atom

***

[5]
## ZrRe2Si (PBE)

Data for crystalline ZrRe2Si at its relaxed geometry.

Geometry as POSCAR:
```
ZrRe2Si
1.0
0.000 3.165 3.165
3.165 0.000 3.165
3.165 3.165 0.000
Zr Re Si
1 2 1
direct
0.250 0.250 0.250
0.750 0.750 0.750
0.000 0.000 0.000
0.500 0.500 0.500
```

Calculated values
* E: -38.43 eV/cell

***

[6]
## RbHoFeTe3 (PBE)

Data for crystalline RbHoFeTe3 at its relaxed geometry.

Geometry as POSCAR:
```
RbHoFeTe3
1.0
-7.154 -8.009 -4.056
3.193 -1.532 -2.608
4.710 -10.146 11.726
Ho Fe Rb Te
4 4 4 12
direct
0.494 0.000 0.752
0.994 0.000 0.748
0.506 0.500 0.248
0.006 0.500 0.252
0.255 0.000 0.282
0.745 0.500 0.718
0.245 0.500 0.782
0.755 0.000 0.218
0.241 0.000 0.003
0.759 0.500 0.997
0.741 0.000 0.497
0.259 0.500 0.503
0.943 0.000 0.127
0.245 0.000 0.686
0.931 0.500 0.624
0.069 0.000 0.376
0.557 0.500 0.627
0.255 0.500 0.186
0.443 0.000 0.373
0.755 0.500 0.314
0.431 0.500 0.876
0.569 0.000 0.124
0.745 0.000 0.814
0.057 0.500 0.873
```

Calculated values
* ΔE to the lowest computed polymorph: 16 meV/atom

***

[7]
## DyAsOsO (PBE)

Data for crystalline DyAsOsO at its relaxed geometry.

Geometry as POSCAR:
```
DyAsOsO
1.0
-3.033 0.605 -2.694
3.821 -1.179 -4.566
-1.373 -5.581 0.292
Dy Os O As
2 2 2 2
direct
0.000 0.817 0.918
0.000 0.183 0.418
0.500 0.493 0.607
0.500 0.507 0.107
0.500 0.246 0.337
0.500 0.754 0.837
0.000 0.683 0.392
0.000 0.317 0.892
```

Calculated values
* E: -59.10 eV/cell

***

[8]
## LaSmSi2Mo2C (PBE)

Data for crystalline LaSmSi2Mo2C at its relaxed geometry.

Geometry as POSCAR:
```
LaSmSi2Mo2C
1.0
5.652 -1.968 0.000
5.652 1.968 0.000
-4.352 0.000 5.956
Mo Sm La C Si
2 1 1 1 2
direct
0.796 0.796 0.921
0.206 0.206 0.081
0.575 0.575 0.298
0.422 0.422 0.697
0.002 0.002 0.007
0.865 0.865 0.323
0.134 0.134 0.674
```

Calculated values
* E: -55.11 eV/cell

***

[9]
## LuCoBiAu (PBE)

Data for crystalline LuCoBiAu at its relaxed geometry.

Geometry as POSCAR:
```
LuCoBiAu
1.0
0.000 3.466 3.466
3.466 0.000 3.466
3.466 3.466 0.000
Co Au Bi Lu
1 1 1 1
direct
0.000 0.000 0.000
0.750 0.750 0.750
0.500 0.500 0.500
0.250 0.250 0.250
```

Calculated values
* ΔE to the lowest computed polymorph: 233 meV/atom

***

[10]
## TbErAg2Bi4 (PBE)

Data for crystalline TbErAg2Bi4 at its relaxed geometry.

Geometry as POSCAR:
```
TbErAg2Bi4
1.0
4.525 0.000 0.000
0.000 4.525 0.000
0.000 0.000 10.238
Ag Er Tb Bi
2 1 1 4
direct
0.500 0.000 0.999
0.000 0.500 0.999
0.000 0.000 0.748
0.500 0.500 0.252
0.000 0.500 0.501
0.000 0.000 0.190
0.500 0.000 0.501
0.500 0.500 0.809
```

Calculated values
* E: -34.53 eV/cell

***

[11]
## YErAu6 (PBE)

Data for crystalline YErAu6 at its relaxed geometry.

Geometry as POSCAR:
```
YErAu6
1.0
-2.780 -1.937 -3.719
-4.202 -1.841 4.100
-2.452 4.481 -0.501
Au Y Er
6 1 1
direct
0.500 0.759 0.663
0.000 0.747 0.339
0.000 0.253 0.339
0.500 0.000 0.164
0.000 0.500 0.832
0.500 0.241 0.663
0.500 0.500 0.157
0.000 0.000 0.845
```

Calculated values
* DFT formation energy: -723.6 meV/atom

***

[12]
## Rb2CuAgBr2Cl4 (PBE)

Data for crystalline Rb2CuAgBr2Cl4 at its relaxed geometry.

Geometry as POSCAR:
```
Rb2CuAgBr2Cl4
1.0
-3.443 -6.613 -0.972
-0.086 -1.917 7.270
-2.705 6.513 -2.609
Cl Br Ag Rb Cu
4 2 1 2 1
direct
0.225 0.225 0.451
0.775 0.225 0.000
0.775 0.775 0.549
0.225 0.775 0.000
0.728 0.728 0.000
0.272 0.272 0.000
0.500 0.500 0.000
0.250 0.750 0.500
0.750 0.250 0.500
0.000 0.000 0.000
```

Calculated values
* E: -29.36 eV/cell